No. 1
VASP calculation (SCAN) on a PBEsol-optimized structure of AgRu3Se.

Results
Final energy: -28.9144 eV per atom
Raw formation energy: 2.270 eV/atom

Cell and atoms, written as CIF:
```
data_AgRu3Se
_chemical_formula_sum 'Ag1 Ru3 Se1'
_cell_length_a 4.750
_cell_length_b 4.750
_cell_length_c 4.750
_cell_angle_alpha 90.00
_cell_angle_beta 90.00
_cell_angle_gamma 90.00
_space_group_name_H-M_alt 'P m -3 m'
_space_group_IT_number 221
_space_group_name_Hall '-P 4 2 3'
loop_
_atom_site_label
_atom_site_type_symbol
_atom_site_fract_x
_atom_site_fract_y
_atom_site_fract_z
_atom_site_occupancy
Ag1 Ag 0.000 0.000 0.000 1
Ru1 Ru 0.000 0.000 0.500 1
Se1 Se 0.500 0.500 0.500 1
```


No. 2
VASP calculation (SCAN) on a PBEsol-optimized structure of AgRu2Se.

Results
Final energy: -29.8572 eV per atom
Raw formation energy: 0.417 eV/atom

Cell and atoms, written as CIF:
```
data_AgRu2Se
_chemical_formula_sum 'Ag3 Ru6 Se3'
_cell_length_a 2.8831
_cell_length_b 2.8831
_cell_length_c 24.7772
_cell_angle_alpha 90.00
_cell_angle_beta 90.00
_cell_angle_gamma 120.00
_space_group_name_H-M_alt 'R -3 m'
_space_group_IT_number 166
_space_group_name_Hall '-R 3 2"'
loop_
_atom_site_label
_atom_site_type_symbol
_atom_site_fract_x
_atom_site_fract_y
_atom_site_fract_z
_atom_site_occupancy
Ag1 Ag 0.0000 0.0000 0.0000 1
Ru1 Ru 0.0000 0.0000 0.2409 1
Se1 Se 0.0000 0.0000 0.5000 1
```


No. 3
VASP calculation (SCAN) on a PBEsol-optimized structure of Si2AgRu.

Results
Energy above the lowest structure with this stoichiometry: 0 meV/atom
Final energy: -21.6949 eV per atom
Raw formation energy: -0.139 eV/atom

Cell and atoms, written as CIF:
```
data_Si2AgRu
_chemical_formula_sum 'Si2 Ag1 Ru1'
_cell_length_a 2.755
_cell_length_b 2.921
_cell_length_c 7.438
_cell_angle_alpha 90.00
_cell_angle_beta 90.00
_cell_angle_gamma 90.00
_space_group_name_H-M_alt 'P m m m'
_space_group_IT_number 47
loop_
_space_group_symop_operation_xyz
'x,y,z'
'-x,-y,-z'
'-x,-y,z'
'x,y,-z'
'x,-y,-z'
'-x,y,z'
'-x,y,-z'
'x,-y,z'
loop_
_atom_site_label
_atom_site_type_symbol
_atom_site_fract_x
_atom_site_fract_y
_atom_site_fract_z
_atom_site_occupancy
Si1 Si 0.000 0.000 0.202 1
Ag1 Ag 0.500 0.000 0.500 1
Ru1 Ru 0.500 0.500 0.000 1
```